1.
# Na3Sc3RhO8

A relaxed Na3Sc3RhO8 crystal (PBE, Alexandria).

It has space group R-3m (No. 166, hexagonal axes), with a = 6.2867 Å, b = 6.2867 Å, c = 16.5574 Å, α = 90.00°, β = 90.00° and γ = 120.00°. The asymmetric unit holds Na at (0.0000, 0.5000, 0.0000), Sc at (0.0000, 0.5000, 0.5000), Rh at (0.0000, 0.0000, 0.5000), O at (0.0000, 0.0000, 0.2332) and O at (0.0116, 0.5058, 0.2325).

The calculation puts the total energy at -0.5201 Ry/atom. The calculation puts the uncorrected formation energy at -2412 meV per atom.

2.
# NaRhSeO5

A relaxed NaRhSeO5 crystal (PBE, Alexandria).

It has space group C2/c (No. 15), with a = 6.927 Å, b = 9.144 Å, c = 7.176 Å, α = 90.00°, β = 113.32° and γ = 90.00°. The asymmetric unit holds Na at (0.000, 0.170, 0.250), Rh at (0.000, 0.500, 0.000), Se at (0.000, 0.181, 0.750), O at (0.000, 0.419, 0.250), O at (0.109, 0.289, 0.620) and O at (0.184, 0.066, 0.922).

The calculation puts the total energy at -0.4010 Ry/atom. The calculation puts the uncorrected formation energy at -838 meV per atom.

3.
# NaRhSeO4

A relaxed NaRhSeO4 crystal (PBE, Alexandria).

It has space group F-43m (No. 216), with a = 8.829 Å, b = 8.829 Å, c = 8.829 Å, α = 90.00°, β = 90.00° and γ = 90.00°. The asymmetric unit holds Na at (0.000, 0.000, 0.000), Rh at (0.250, 0.250, 0.750), Se at (0.000, 0.000, 0.500) and O at (0.117, 0.117, 0.617).

The calculation puts the total energy at -0.3630 Ry/atom. The calculation puts the uncorrected formation energy at -369 meV per atom.

4.
# NaRhSe2O8

A relaxed NaRhSe2O8 crystal (PBE, Alexandria).

It has space group R-3 (No. 148, hexagonal axes), with a = 4.9367 Å, b = 4.9367 Å, c = 24.2044 Å, α = 90.00°, β = 90.00° and γ = 120.00°. The asymmetric unit holds Na at (0.0000, 0.0000, 0.0000), Rh at (0.0000, 0.0000, 0.5000), Se at (0.0000, 0.0000, 0.2395), O at (0.0000, 0.0000, 0.3075) and O at (0.0013, 0.6591, 0.1152).

The calculation puts the total energy at -0.3950 Ry/atom. The calculation puts the uncorrected formation energy at -766 meV per atom.

5.
# Na2SiRhO4

A relaxed Na2SiRhO4 crystal (PBE, Alexandria).

It has space group I-4 (No. 82), with a = 5.762 Å, b = 5.762 Å, c = 6.018 Å, α = 90.00°, β = 90.00° and γ = 90.00°. The asymmetric unit holds Na at (0.000, 0.000, 0.000), Na at (0.000, 0.500, 0.250), Si at (0.000, 0.000, 0.500), Rh at (0.000, 0.500, 0.750) and O at (0.143, 0.819, 0.667).

The calculation puts the total energy at -0.4466 Ry/atom. The calculation puts the uncorrected formation energy at -1670 meV per atom.

6.
# Na3SiRh3O8

A relaxed Na3SiRh3O8 crystal (PBE, Alexandria).

It has space group R-3m (No. 166, hexagonal axes), with a = 6.0563 Å, b = 6.0563 Å, c = 16.3224 Å, α = 90.00°, β = 90.00° and γ = 120.00°. The asymmetric unit holds Na at (0.0000, 0.5000, 0.0000), Si at (0.0000, 0.0000, 0.5000), Rh at (0.0000, 0.5000, 0.5000), O at (0.0000, 0.0000, 0.2336) and O at (0.0393, 0.5196, 0.2275).

The calculation puts the total energy at -0.4530 Ry/atom. The calculation puts the uncorrected formation energy at -1423 meV per atom.

7.
# NaSm2RhO6

A relaxed NaSm2RhO6 crystal (PBE, Alexandria).

It has space group P2_1/c (No. 14), with a = 5.489 Å, b = 5.943 Å, c = 9.557 Å, α = 90.00°, β = 123.91° and γ = 90.00°. The asymmetric unit holds Na at (0.000, 0.000, 0.000), Sm at (0.222, 0.077, 0.745), Rh at (0.500, 0.000, 0.500), O at (0.147, 0.173, 0.445), O at (0.265, 0.716, 0.426) and O at (0.398, 0.056, 0.268).

The calculation puts the total energy at -0.5124 Ry/atom. The calculation puts the uncorrected formation energy at -2186 meV per atom.

8.
# Na2Sm2RhO6

A relaxed Na2Sm2RhO6 crystal (PBE, Alexandria).

It has space group C2/m (No. 12), with a = 5.867 Å, b = 10.177 Å, c = 5.882 Å, α = 90.00°, β = 103.79° and γ = 90.00°. The asymmetric unit holds Na at (0.000, 0.138, 0.000), Sm at (0.000, 0.337, 0.500), Rh at (0.000, 0.000, 0.500), O at (0.191, 0.154, 0.692) and O at (0.245, 0.000, 0.296).

The calculation puts the total energy at -0.4813 Ry/atom. The calculation puts the uncorrected formation energy at -2078 meV per atom.